DFT (GGA-PBE) results for a relaxed AcCe3Y2S6 crystal.

## Properties
The calculation puts the energy relative to the elements, uncorrected at -46.1 kcal/mol of atoms. As for the density of states at the Fermi level: 16.73 states/eV/f.u. For the total energy, the calculation gives -6.968 eV per atom.

Unit cell a=7.004 b=7.004 c=7.016 alpha=99.64 beta=99.64 gamma=120.02
Last column: magnetic moment on the atom in μB.
Element x y z (fractional)
Ac 0.000 0.000 0.000  0.01
Ce 0.161 0.839 0.500  0.73
Ce 0.839 0.161 0.500  0.73
Ce 0.500 0.500 0.500  0.74
Y 0.333 0.667 0.000  0.00
Y 0.667 0.333 0.000  0.00
S 0.917 0.567 0.750  -0.01
S 0.732 0.732 0.244  -0.01
S 0.083 0.433 0.250  -0.01
S 0.567 0.917 0.750  -0.01
S 0.268 0.268 0.756  -0.01
S 0.433 0.083 0.250  -0.01

---

DFT (GGA-PBE) results for a relaxed Al2FeP crystal.

## Properties
The calculation puts the formation energy at -0.217 eV per atom. As for the density of states at the Fermi level: 1.36 states/eV/f.u. For the total energy, the calculation gives -5.556 eV per atom.

Unit cell a=5.840 b=5.840 c=4.029 alpha=69.82 beta=69.82 gamma=26.67
Element x y z (fractional)
P 0.179 0.179 0.321
Fe 0.510 0.510 0.490
Al 0.002 0.002 0.998
Al 0.809 0.809 0.691

---

DFT (GGA-PBE) results for a relaxed Zr2ScW crystal.

## Properties
For the polymorph energy (0 for the lowest one), the calculation gives 0.039 eV per atom. The calculation puts the formation energy at 0.168 eV per atom. As for the density of states at the Fermi level: 5.74 states/eV/f.u. For the total energy, the calculation gives -8.927 eV per atom.

Unit cell a=3.045 b=3.045 c=9.871 alpha=90.00 beta=90.00 gamma=111.78
Element x y z (fractional)
Sc 0.500 0.500 0.250
W 0.500 0.500 0.750
Zr 0.000 0.000 0.972
Zr 0.000 0.000 0.528

---

DFT (GGA-PBE) results for a relaxed Ho2NiN crystal.

## Properties
The calculation puts the energy relative to the elements, uncorrected at -10.2 kcal/mol of atoms. As for the density of states at the Fermi level: 2.60 states/eV/f.u. For the total energy, the calculation gives -6.256 eV per atom.

Unit cell a=3.325 b=3.325 c=8.080 alpha=78.13 beta=78.13 gamma=60.00
Element x y z (fractional)
Ni 0.000 0.000 0.000
Ho 0.108 0.108 0.675
Ho 0.892 0.892 0.325
N 0.500 0.500 0.500

---

DFT (GGA-PBE) results for a relaxed Nd6Ge3SbS2 crystal.

## Properties
The calculation puts the energy relative to the elements, uncorrected at -29.0 kcal/mol of atoms. As for the density of states at the Fermi level: 6.26 states/eV/f.u. For the total energy, the calculation gives -5.826 eV per atom.

Unit cell a=4.232 b=8.637 c=9.571 alpha=103.48 beta=102.77 gamma=90.00
Element x y z (fractional)
Nd 0.328 0.910 0.656
Nd 0.668 0.581 0.335
Nd 0.672 0.090 0.344
Nd 0.003 0.263 0.007
Nd 0.997 0.737 0.993
Nd 0.332 0.419 0.665
Ge 0.500 0.500 0.000
Ge 0.835 0.169 0.670
Ge 0.165 0.831 0.330
Sb 0.500 0.000 0.000
S 0.831 0.663 0.662
S 0.169 0.337 0.338

---

DFT (GGA-PBE) results for a relaxed IrS4F crystal.

## Properties
The calculation puts the energy relative to the elements, uncorrected at -7.3 kcal/mol of atoms. For the total energy, the calculation gives -4.859 eV per atom.

Unit cell a=7.021 b=7.306 c=7.501 alpha=118.37 beta=98.13 gamma=106.23
Element x y z (fractional)
Ir 0.711 0.900 0.932
Ir 0.289 0.100 0.068
S 0.145 0.302 0.968
S 0.028 0.040 0.226
S 0.481 0.807 0.639
S 0.519 0.193 0.361
S 0.855 0.698 0.032
S 0.535 0.136 0.881
S 0.465 0.864 0.119
S 0.972 0.960 0.774
F 0.231 0.647 0.577
F 0.769 0.353 0.423

---

DFT (GGA-PBE) results for a relaxed Cs2LiMoCl6 crystal.

## Properties
For the polymorph energy (0 for the lowest one), the calculation gives 0.022 eV per atom. The calculation puts the energy relative to the elements, uncorrected at -35.2 kcal/mol of atoms. For the total energy, the calculation gives -4.081 eV per atom.

Unit cell a=7.318 b=7.318 c=7.318 alpha=60.00 beta=60.00 gamma=60.00
Last column: magnetic moment on the atom in μB.
Element x y z (fractional)
Cs 0.750 0.750 0.750  0.00
Cs 0.250 0.250 0.250  0.00
Li 0.500 0.500 0.500  0.00
Mo 0.000 0.000 0.000  2.46
Cl 0.760 0.240 0.240  0.02
Cl 0.240 0.240 0.760  0.02
Cl 0.240 0.760 0.760  0.02
Cl 0.240 0.760 0.240  0.02
Cl 0.760 0.240 0.760  0.02
Cl 0.760 0.760 0.240  0.02

---

DFT (GGA-PBE) results for a relaxed UAl5Au crystal.

## Properties
The calculation puts the formation energy at -0.214 eV per atom. As for the density of states at the Fermi level: 6.78 states/eV/f.u. For the total energy, the calculation gives -4.968 eV per atom.

Unit cell a=4.342 b=4.342 c=7.042 alpha=90.00 beta=90.00 gamma=90.00
Last column: magnetic moment on the atom in μB.
Element x y z (fractional)
U 0.000 0.000 0.000  1.85
Al 0.500 0.000 0.713  0.00
Al 0.000 0.500 0.713  0.00
Al 0.500 0.500 0.000  0.01
Al 0.000 0.500 0.287  0.00
Al 0.500 0.000 0.287  0.00
Au 0.000 0.000 0.500  0.00

---

DFT (GGA-PBE) results for a relaxed VPtC2 crystal.

## Properties
For the polymorph energy (0 for the lowest one), the calculation gives 0.608 eV per atom. The calculation puts the formation energy at 1.160 eV per atom. As for the density of states at the Fermi level: 3.15 states/eV/f.u. For the total energy, the calculation gives -7.242 eV per atom.

Unit cell a=3.809 b=3.809 c=3.809 alpha=60.00 beta=60.00 gamma=60.00
Element x y z (fractional)
C 0.250 0.250 0.250
C 0.750 0.750 0.750
Pt 0.500 0.500 0.500
V 0.000 0.000 0.000

---

DFT (GGA-PBE) results for a relaxed BaNi2Mo crystal.

## Properties
For the polymorph energy (0 for the lowest one), the calculation gives 0.731 eV per atom. The calculation puts the formation energy at 0.960 eV per atom. As for the density of states at the Fermi level: 5.75 states/eV/f.u. For the total energy, the calculation gives -5.119 eV per atom.

Unit cell a=4.787 b=4.787 c=4.787 alpha=60.00 beta=60.00 gamma=60.00
Last column: magnetic moment on the atom in μB.
Element x y z (fractional)
Ni 0.250 0.250 0.250  0.33
Ni 0.750 0.750 0.750  0.33
Mo 0.000 0.000 0.000  2.36
Ba 0.500 0.500 0.500  0.04

---

DFT (GGA-PBE) results for a relaxed CdNiIr2 crystal.

## Properties
The calculation puts the formation energy at 0.143 eV per atom. As for the density of states at the Fermi level: 4.66 states/eV/f.u. For the total energy, the calculation gives -5.962 eV per atom.

Unit cell a=3.794 b=2.776 c=6.384 alpha=64.19 beta=90.00 gamma=90.00
Element x y z (fractional)
Cd 0.500 0.764 0.735
Ir 0.000 0.962 0.038
Ir 0.500 0.254 0.247
Ni 0.000 0.519 0.480

---

DFT (GGA-PBE) results for a relaxed CaCoW2 crystal.

## Properties
For the polymorph energy (0 for the lowest one), the calculation gives 0.150 eV per atom. The calculation puts the formation energy at 0.632 eV per atom. As for the density of states at the Fermi level: 4.60 states/eV/f.u. For the total energy, the calculation gives -8.121 eV per atom.

Unit cell a=2.774 b=2.774 c=8.849 alpha=90.00 beta=90.00 gamma=90.00
Last column: magnetic moment on the atom in μB.
Element x y z (fractional)
Ca 0.500 0.500 0.250  0.04
Co 0.500 0.500 0.750  0.92
W 0.000 0.000 0.947  0.10
W 0.000 0.000 0.553  0.10